1.
PmAsPt: relaxed, PBE.

Its total energy is -0.4609 Ry/atom.

Cell: 10.981 4.357 7.585 Å, 90.00 133.52 90.00°
Space group C2/m (No. 12)
One atom of each set of equivalent atoms:
Pm  0.237  0.000  0.238 (multiplicity 4)
As  0.005  0.000  0.674 (multiplicity 4)
Pt  0.001  0.500  0.182 (multiplicity 4)

---

2.
Pm2AsPt: relaxed, PBE.

Its total energy is -0.4645 Ry/atom.

Cell: 4.088 23.403 4.292 Å, 90.00 90.00 90.00°
Space group Cmcm (No. 63)
One atom of each set of equivalent atoms:
Pm  0.000  0.064  0.250 (multiplicity 4)
Pm  0.000  0.316  0.250 (multiplicity 4)
As  0.000  0.189  0.250 (multiplicity 4)
Pt  0.000  0.457  0.250 (multiplicity 4)

---

| no. | theoretical density (g/cm3) |
| --- | --- |
| 1 | 10.5 |
| 2 | 9.1 |